A relaxed RbW3F crystal, computed with PBE+U.

a = 5.3023 Å, b = 5.3023 Å, c = 5.3023 Å
α = 90.00°, β = 90.00°, γ = 90.00°
Last column: magnetic moment on the atom in μB.
Fractional positions:
Rb 0.5000 0.5000 0.5000  0.02
W 0.0000 0.5000 0.0000  3.45
W 0.0000 0.0000 0.5000  3.39
W 0.5000 0.0000 0.0000  3.38
F 0.0000 0.0000 0.0000  0.01

Values from the calculation:
E above lowest polymorph = 0.000 eV/atom
final energy = -3.32 eV per atom
space group = Pm-3m, No. 221
Fermi-level density of states = 0.310 states/eV/atom